[1]
Density functional theory data (GGA-PBE) for crystalline ZrH3Pb at its relaxed geometry.

Properties
Relative energy among the computed polymorphs   0.000 eV/atom
Calculated total energy   -22.30 eV per formula unit
N(E_F)   3.1 states/eV/f.u.

abc: 3.9656 3.9656 3.9656
angles: 90.00 90.00 90.00
Space group Pm-3m (No. 221)
One atom of each set of equivalent atoms:
Zr 0.0000 0.0000 0.0000 [1 per cell]
H 0.0000 0.0000 0.5000 [3 per cell]
Pb 0.5000 0.5000 0.5000 [1 per cell]


[2]
Density functional theory data (GGA-PBE) for crystalline Pr2NdDy4Sc at its relaxed geometry.

Properties
Calculated total energy   -35.86 eV per formula unit
Energy of formation   401 meV/atom
N(E_F)   18.4 states/eV/f.u.

abc: 6.7893 11.8040 13.1531
angles: 90.00 90.00 90.00
Space group Imma (No. 74)
One atom of each set of equivalent atoms:
Pr 0.0000 0.0000 0.0000 [4 per cell]
Pr 0.2500 0.2500 0.2500 [4 per cell]
Nd 0.0000 0.0000 0.5000 [4 per cell]
Dy 0.0000 0.0169 0.7499 [8 per cell]
Dy 0.2498 0.2500 0.5153 [8 per cell]
Sc 0.2500 0.2500 0.7500 [4 per cell]


[3]
Density functional theory data (GGA-PBE) for crystalline TaSeI2N at its relaxed geometry.

Properties
Relative energy among the computed polymorphs   0.000 eV/atom
Calculated total energy   -25.02 eV per formula unit
Formation energy from raw total energies   0.348 eV/atom
N(E_F)   5.1 states/eV/f.u.

abc: 5.6564 5.6564 3.9212
angles: 90.00 90.00 90.00
Space group P4/mmm (No. 123)
One atom of each set of equivalent atoms:
Ta 0.0000 0.0000 0.0000 [1 per cell]
Se 0.5000 0.5000 0.5000 [1 per cell]
I 0.0000 0.5000 0.0000 [2 per cell]
N 0.0000 0.0000 0.5000 [1 per cell]